Record 1
The following is a PBE-GGA calculation of an optimized crystal structure of Ac2GaP, from Alexandria via LeMat-Bulk.

Its density of states at the Fermi level is 3.12 states/eV/f.u. Its uncorrected energy is -5.0120 eV/atom. As for the theoretical density: 7.0 g/cm3. The space group is R-3m. For the distance to the lowest polymorph of the same formula, the calculation gives 0.000 eV per atom.

abc: 8.470 8.470 8.470
angles: 29.74 29.74 29.74
Positions (direct):
Ac (0.241, 0.241, 0.241)
Ac (0.759, 0.759, 0.759)
Ga (0.000, 0.000, 0.000)
P (0.500, 0.500, 0.500)



Record 2
The following is a PBE-GGA calculation of an optimized crystal structure of GdHoTmGa, from Alexandria via LeMat-Bulk.

Its density of states at the Fermi level is 5.47 states/eV/f.u. Its uncorrected energy is -6.6495 eV/atom. As for the theoretical density: 8.9 g/cm3. The space group is F-43m.

abc: 5.296 5.296 5.296
angles: 60.00 60.00 60.00
Positions (direct):
Gd (0.000, 0.000, 0.000)
Ho (0.500, 0.500, 0.500)
Tm (0.250, 0.250, 0.250)
Ga (0.750, 0.750, 0.750)



Record 3
The following is a PBE-GGA calculation of an optimized crystal structure of Sm3DyCl, from Alexandria via LeMat-Bulk.

Its density of states at the Fermi level is 4.45 states/eV/f.u. Its uncorrected energy is -4.6013 eV/atom. As for the theoretical density: 6.9 g/cm3. The space group is Pm-3m. The formation energy from raw total energies comes out at -0.4801 eV/atom.

abc: 5.393 5.393 5.393
angles: 90.00 90.00 90.00
Positions (direct):
Sm (0.000, 0.000, 0.500)
Sm (0.000, 0.500, 0.000)
Sm (0.500, 0.000, 0.000)
Dy (0.500, 0.500, 0.500)
Cl (0.000, 0.000, 0.000)



Record 4
The following is a PBE-GGA calculation of an optimized crystal structure of Y2SiAg, from Alexandria via LeMat-Bulk.

Its density of states at the Fermi level is 3.70 states/eV/f.u. Its uncorrected energy is -5.8299 eV/atom. As for the theoretical density: 5.5 g/cm3. The space group is P2_1/m. The formation energy from raw total energies comes out at -0.5293 eV/atom.

abc: 5.965 4.327 7.869
angles: 90.00 110.26 90.00
Positions (direct):
Y (0.202, 0.250, 0.427)
Y (0.221, 0.250, 0.929)
Y (0.779, 0.750, 0.071)
Y (0.798, 0.750, 0.573)
Si (0.337, 0.750, 0.710)
Si (0.663, 0.250, 0.290)
Ag (0.350, 0.750, 0.217)
Ag (0.650, 0.250, 0.783)



Record 5
The following is a PBE-GGA calculation of an optimized crystal structure of MgRh2Pb, from Alexandria via LeMat-Bulk.

Its density of states at the Fermi level is 3.64 states/eV/f.u. Its uncorrected energy is -5.0892 eV/atom. As for the theoretical density: 10.3 g/cm3. The space group is P2/m.

abc: 4.593 3.178 5.254
angles: 90.00 112.71 90.00
Positions (direct):
Mg (0.000, 0.000, 0.000)
Rh (0.500, 0.000, 0.500)
Rh (0.500, 0.500, 0.000)
Pb (0.000, 0.500, 0.500)



Record 6
The following is a PBE-GGA calculation of an optimized crystal structure of MgNi4Sn2, from Alexandria via LeMat-Bulk.

Its density of states at the Fermi level is 5.01 states/eV/f.u. Its uncorrected energy is -4.7702 eV/atom. As for the theoretical density: 7.5 g/cm3. The space group is R-3m.

abc: 7.364 7.364 7.364
angles: 33.74 33.74 33.74
Positions (direct):
Mg (0.000, 0.000, 0.000)
Ni (0.124, 0.124, 0.124)
Ni (0.378, 0.378, 0.378)
Ni (0.622, 0.622, 0.622)
Ni (0.876, 0.876, 0.876)
Sn (0.247, 0.247, 0.247)
Sn (0.753, 0.753, 0.753)



Record 7
The following is a PBE-GGA calculation of an optimized crystal structure of SbP2Cl, from Alexandria via LeMat-Bulk.

Its density of states at the Fermi level is 0.95 states/eV/f.u. Its uncorrected energy is -4.1081 eV/atom. As for the theoretical density: 3.9 g/cm3. The space group is C2/m. The formation energy from raw total energies comes out at 0.0891 eV/atom. For the distance to the lowest polymorph of the same formula, the calculation gives 0.123 eV per atom.

abc: 6.131 6.131 4.924
angles: 100.20 100.20 30.55
Positions (direct):
Sb (0.000, 0.000, 0.000)
P (0.274, 0.274, 0.871)
P (0.726, 0.726, 0.129)
Cl (0.500, 0.500, 0.500)



Record 8
The following is a PBE-GGA calculation of an optimized crystal structure of SrCaTb2Hg4, from Alexandria via LeMat-Bulk.

Its density of states at the Fermi level is 6.20 states/eV/f.u. Its uncorrected energy is -2.2597 eV/atom. As for the theoretical density: 9.4 g/cm3. The space group is R-3m.

abc: 9.344 9.344 9.344
angles: 33.36 33.36 33.36
Positions (direct):
Sr (0.000, 0.000, 0.000)
Ca (0.500, 0.500, 0.500)
Tb (0.248, 0.248, 0.248)
Tb (0.752, 0.752, 0.752)
Hg (0.127, 0.127, 0.127)
Hg (0.378, 0.378, 0.378)
Hg (0.622, 0.622, 0.622)
Hg (0.873, 0.873, 0.873)



Among the records above, which one has the highest theoretical density? MgRh2Pb



The highest uncorrected energy belongs to which entry? SrCaTb2Hg4



theoretical density of number 5 (MgRh2Pb)? 10.3 g/cm3